# TaZnTc2O, relaxed, DFT PBE
data_TaZnTc2O
_chemical_formula_sum 'Ta1 Zn1 Tc2 O1'
_cell_length_a 4.965
_cell_length_b 3.841
_cell_length_c 4.965
_cell_angle_alpha 90.00
_cell_angle_beta 90.00
_cell_angle_gamma 90.00
_symmetry_space_group_name_H-M 'P 1'
_symmetry_Int_Tables_number 1
_symmetry_space_group_name_Hall 'P 1'
loop_
_atom_site_label
_atom_site_type_symbol
_atom_site_fract_x
_atom_site_fract_y
_atom_site_fract_z
Zn1 Zn 0.500 0.500 0.500
Tc1 Tc 0.000 0.000 0.500
Tc2 Tc 0.500 0.000 0.000
O1 O 0.000 0.500 0.000
Ta1 Ta 0.000 0.000 0.000
# ΔE_f (raw): 0.71 eV/atom
# Final energy: -7.0557 eV per atom